i:
# PBE TmTeS, relaxed
data_TmTeS
_symmetry_space_group_name_H-M 'C 1 2/m 1'
_symmetry_Int_Tables_number 12
_symmetry_space_group_name_Hall '-C 2y'
_cell_length_a 15.0971
_cell_length_b 4.2037
_cell_length_c 5.4267
_cell_angle_alpha 90.00
_cell_angle_beta 90.19
_cell_angle_gamma 90.00
loop_
_atom_site_label
_atom_site_type_symbol
_atom_site_fract_x
_atom_site_fract_y
_atom_site_fract_z
_atom_site_occupancy
Tm1 Tm 0.1876 0.0000 0.2494 1
Te1 Te 0.0352 0.5000 0.2498 1
S1 S 0.1997 0.0000 0.7495 1
# V = 28.70 A^3/atom

***

ii:
# PBE TmTeS, relaxed
data_TmTeS
_symmetry_space_group_name_H-M 'I 4 m m'
_symmetry_Int_Tables_number 107
_symmetry_space_group_name_Hall 'I 4 -2'
_cell_length_a 3.4319
_cell_length_b 3.4319
_cell_length_c 14.3103
_cell_angle_alpha 90.00
_cell_angle_beta 90.00
_cell_angle_gamma 90.00
loop_
_atom_site_label
_atom_site_type_symbol
_atom_site_fract_x
_atom_site_fract_y
_atom_site_fract_z
_atom_site_occupancy
Tm1 Tm 0.0000 0.0000 0.0000 1
Te1 Te 0.0000 0.0000 0.6680 1
S1 S 0.0000 0.0000 0.4188 1
# V = 28.09 A^3/atom

***

iii:
# PBE TmTeS, relaxed
data_TmTeS
_symmetry_space_group_name_H-M 'P 3 m 1'
_symmetry_Int_Tables_number 156
_symmetry_space_group_name_Hall 'P 3 -2"'
_cell_length_a 3.8546
_cell_length_b 3.8546
_cell_length_c 7.6343
_cell_angle_alpha 90.00
_cell_angle_beta 90.00
_cell_angle_gamma 120.00
loop_
_atom_site_label
_atom_site_type_symbol
_atom_site_fract_x
_atom_site_fract_y
_atom_site_fract_z
_atom_site_occupancy
Tm1 Tm 0.0000 0.0000 0.0000 1
Te1 Te 0.3333 0.6667 0.6962 1
S1 S 0.6667 0.3333 0.1694 1
# V = 32.74 A^3/atom

***

Energies, relative to the best one, in kJ/mol of atoms: i 0.0; ii 20.4; iii 14.5.